(1)
# KCdF3

KCdF3 after structural relaxation (PBE, OQMD).

Calculated values
SG = P6_3/mmc (194)

Cell: 3.983 3.983 12.761 Å, 90.00 90.00 120.00°
Positions (direct):
K (0.000, 0.000, 0.000)
K (0.000, 0.000, 0.500)
Cd (0.333, 0.667, 0.250)
Cd (0.667, 0.333, 0.750)
F (0.000, 0.000, 0.250)
F (0.000, 0.000, 0.750)
F (0.333, 0.667, 0.088)
F (0.333, 0.667, 0.412)
F (0.667, 0.333, 0.588)
F (0.667, 0.333, 0.912)

(2)
# KRbPAu

KRbPAu after structural relaxation (PBE, OQMD).

Calculated values
SG = Ama2 (40)

Cell: 6.525 6.294 6.294 Å, 72.75 90.00 90.00°
Positions (direct):
K (0.250, 0.147, 0.853)
K (0.750, 0.853, 0.147)
Rb (0.250, 0.493, 0.199)
Rb (0.750, 0.199, 0.493)
P (0.250, 0.917, 0.437)
P (0.750, 0.437, 0.917)
Au (0.000, 0.671, 0.671)
Au (0.500, 0.671, 0.671)

(3)
# NbFeCuPb

NbFeCuPb after structural relaxation (PBE, OQMD).

Calculated values
SG = F-43m (216)

Cell: 4.575 4.575 4.575 Å, 60.00 60.00 60.00°
Positions (direct):
Nb (0.000, 0.000, 0.000)
Fe (0.750, 0.750, 0.750)
Cu (0.500, 0.500, 0.500)
Pb (0.250, 0.250, 0.250)

(4)
# Ba2LiOsSe6

Ba2LiOsSe6 after structural relaxation (PBE, OQMD).

Calculated values
SG = I4/m (87)

Cell: 7.109 7.109 7.109 Å, 120.04 120.04 89.93°
Positions (direct):
Ba (0.250, 0.750, 0.500)
Ba (0.750, 0.250, 0.500)
Li (0.000, 0.000, 0.000)
Os (0.500, 0.500, 0.000)
Se (0.247, 0.257, 0.504)
Se (0.252, 0.252, 0.000)
Se (0.257, 0.753, 0.011)
Se (0.743, 0.247, 0.989)
Se (0.748, 0.748, 0.000)
Se (0.753, 0.743, 0.496)

E_tot, respectively: -39.0; -25.2; -23.9; -46.2 eV for the cell shown.